# 1
## RuAu (PBE)

Data for crystalline RuAu at its relaxed geometry.

Cell: 4.4635 4.4635 5.2987 Å, 90.00 90.00 120.00°
Space group P6_3/mmc (No. 194)
One atom of each set of equivalent atoms:
Ru 0.3333 0.6667 0.2500 [2 per cell]
Au 0.3333 0.6667 0.7500 [2 per cell]

DOS(E_F) in states/eV per atom: 1.1750
DFT formation energy in eV per formula unit: 2.9
Magnetic moment in μB per atom: 0.862

=====

# 2
## RuAu (PBE)

Data for crystalline RuAu at its relaxed geometry.

Cell: 2.7663 2.7663 4.2038 Å, 90.00 90.00 90.00°
Space group P4/mmm (No. 123)
One atom of each set of equivalent atoms:
Ru 0.0000 0.0000 0.0000 [1 per cell]
Au 0.5000 0.5000 0.5000 [1 per cell]

DOS(E_F) in states/eV per atom: 1.1622
DFT formation energy in eV per formula unit: 1.0
Magnetic moment in μB per atom: 0.627

=====

Question: What is the magnetic moment in the second record?
Answer: 0.627 μB per atom

=====

Question: The lowest DFT formation energy belongs to which entry?
Answer: number 2

=====

Question: Which of these has the highest magnetic moment?
Answer: number 1

=====

Question: Which value of DFT formation energy does entry 1 give?
Answer: 2.9 eV per formula unit